[1]
DFT (GGA-PBE) results for a geometry-optimized Zn3ICl structure.

a = 5.7154 Å, b = 5.7154 Å, c = 5.7154 Å
α = 90.00°, β = 90.00°, γ = 90.00°
Sites, in units of the cell vectors:
1 Zn 0.5000 0.0000 0.0000
2 Zn 0.0000 0.5000 0.0000
3 Cl 0.5000 0.5000 0.5000
4 Zn 0.0000 0.0000 0.5000
5 I 0.0000 0.0000 0.0000

Computed properties:
- V (Å³ per cell) = 186.69
- offset from the most stable computed form (meV/atom) = 104


[2]
DFT (GGA-PBE) results for a geometry-optimized Nd8Tm5Pu structure.

a = 8.5374 Å, b = 8.6949 Å, c = 8.5374 Å
α = 113.98°, β = 117.27°, γ = 97.22°
Sites, in units of the cell vectors:
1 Pu 0.1836 0.5000 0.6836
2 Tm 0.2860 0.9520 0.0448
3 Nd 0.4736 0.6390 0.1784
4 Nd 0.0940 0.1727 0.7738
5 Nd 0.1001 0.7139 0.4502
6 Nd 0.9806 0.5706 0.9500
7 Nd 0.6011 0.8273 0.9214
8 Tm 0.8321 0.7752 0.6826
9 Nd 0.7363 0.2861 0.3861
10 Nd 0.5394 0.3610 0.8346
11 Nd 0.3794 0.4294 0.4100
12 Tm 0.0929 0.0480 0.3340
13 Tm 0.9074 0.2248 0.0570
14 Tm 0.5434 0.0000 0.5434

Computed properties:
- V (Å³ per cell) = 475.26
- formation energy from the elements (eV/atom) = 0.2152


[3]
DFT (GGA-PBE) results for a geometry-optimized Ti6In3Fe structure.

a = 7.0499 Å, b = 5.8396 Å, c = 5.8396 Å
α = 60.79°, β = 74.77°, γ = 74.77°
Sites, in units of the cell vectors:
1 Ti 0.3753 0.6451 0.1265
2 Ti 0.8073 0.3166 0.3166
3 Ti 0.6247 0.8735 0.3549
4 In 0.7555 0.8150 0.8150
5 Ti 0.1927 0.6834 0.6834
6 In 0.2445 0.1850 0.1850
7 Ti 0.3753 0.1265 0.6451
8 In 0.0000 0.0000 0.0000
9 Fe 0.5000 0.5000 0.5000
10 Ti 0.6247 0.3549 0.8735

Computed properties:
- V (Å³ per cell) = 199.86
- formation energy from the elements (eV/atom) = 0.1318


[4]
DFT (GGA-PBE) results for a geometry-optimized Pr3YHo6Th2 structure.

a = 6.2185 Å, b = 6.2185 Å, c = 11.8087 Å
α = 95.05°, β = 95.05°, γ = 119.97°
Sites, in units of the cell vectors:
1 Y 0.0000 0.0000 0.0000
2 Ho 0.0816 0.4198 0.2445
3 Ho 0.2566 0.2566 0.7552
4 Ho 0.5802 0.9184 0.7555
5 Ho 0.9184 0.5802 0.7555
6 Ho 0.7434 0.7434 0.2448
7 Th 0.6665 0.3335 0.0000
8 Pr 0.1663 0.8337 0.5000
9 Ho 0.4198 0.0816 0.2445
10 Pr 0.5000 0.5000 0.5000
11 Pr 0.8337 0.1663 0.5000
12 Th 0.3335 0.6665 0.0000

Computed properties:
- V (Å³ per cell) = 389.42
- formation energy from the elements (eV/atom) = 0.0202


[5]
DFT (GGA-PBE) results for a geometry-optimized LaTi2Hg2 structure.

a = 8.3917 Å, b = 8.3917 Å, c = 3.2203 Å
α = 90.00°, β = 90.00°, γ = 90.00°
Sites, in units of the cell vectors:
1 Hg 0.1277 0.3723 0.0000
2 Ti 0.1692 0.6692 0.5000
3 La 0.5000 0.5000 0.0000
4 Hg 0.8723 0.6277 0.0000
5 Ti 0.8308 0.3308 0.5000
6 Ti 0.3308 0.1692 0.5000
7 Ti 0.6692 0.8308 0.5000
8 Hg 0.3723 0.8723 0.0000
9 Hg 0.6277 0.1277 0.0000
10 La 0.0000 0.0000 0.0000

Computed properties:
- V (Å³ per cell) = 226.78
- offset from the most stable computed form (meV/atom) = 136
- formation energy from the elements (eV/atom) = 0.0938


[6]
DFT (GGA-PBE) results for a geometry-optimized CsGa6Ge6 structure.

a = 7.1779 Å, b = 7.1779 Å, c = 7.1779 Å
α = 90.00°, β = 90.00°, γ = 90.00°
Sites, in units of the cell vectors:
1 Ge 0.2491 0.5000 0.0000
2 Ga 0.0000 0.5000 0.7478
3 Ge 0.0000 0.2491 0.5000
4 Ga 0.5000 0.7478 0.0000
5 Ge 0.5000 0.0000 0.2491
6 Ga 0.0000 0.5000 0.2522
7 Ge 0.5000 0.0000 0.7509
8 Ge 0.0000 0.7509 0.5000
9 Cs 0.0000 0.0000 0.0000
10 Ga 0.2522 0.0000 0.5000
11 Ga 0.5000 0.2522 0.0000
12 Ge 0.7509 0.5000 0.0000
13 Ga 0.7478 0.0000 0.5000

Computed properties:
- V (Å³ per cell) = 369.83
- formation energy from the elements (eV/atom) = 0.0898


[7]
DFT (GGA-PBE) results for a geometry-optimized Sr2SiW structure.

a = 3.0923 Å, b = 3.0923 Å, c = 10.0320 Å
α = 90.00°, β = 90.00°, γ = 90.00°
Sites, in units of the cell vectors:
1 W 0.5000 0.5000 0.2500
2 Sr 0.0000 0.0000 0.9886
3 Sr 0.0000 0.0000 0.5114
4 Si 0.5000 0.5000 0.7500

Computed properties:
- V (Å³ per cell) = 95.93
- VASP energy (eV per atom) = -4.679


[8]
DFT (GGA-PBE) results for a geometry-optimized Mn2Ru3 structure.

a = 5.0774 Å, b = 4.4293 Å, c = 7.6376 Å
α = 83.93°, β = 70.59°, γ = 55.03°
Sites, in units of the cell vectors:
1 Ru 0.2104 0.0424 0.3734
2 Mn 0.3781 0.4083 0.4571
3 Ru 0.0696 0.2500 0.7500
4 Mn 0.2436 0.0917 0.0429
5 Mn 0.6219 0.5917 0.5429
6 Ru 0.6261 0.4576 0.1266
7 Ru 0.9304 0.7500 0.2500
8 Ru 0.7896 0.9576 0.6266
9 Mn 0.7564 0.9083 0.9571
10 Ru 0.3739 0.5424 0.8734

Computed properties:
- V (Å³ per cell) = 131.95
- offset from the most stable computed form (meV/atom) = 139
- formation energy from the elements (eV/atom) = 0.2785


[9]
DFT (GGA-PBE) results for a geometry-optimized LiMgCd2 structure.

a = 10.2443 Å, b = 10.2443 Å, c = 10.2443 Å
α = 17.38°, β = 17.38°, γ = 17.38°
Sites, in units of the cell vectors:
1 Cd 0.9951 0.9951 0.9951
2 Mg 0.7500 0.7500 0.7500
3 Li 0.2500 0.2500 0.2500
4 Cd 0.5049 0.5049 0.5049

Computed properties:
- V (Å³ per cell) = 83.75
- formation energy from the elements (eV/atom) = -0.1002


[10]
DFT (GGA-PBE) results for a geometry-optimized Pu8IrRu5 structure.

a = 7.2742 Å, b = 7.2742 Å, c = 7.2742 Å
α = 109.23°, β = 109.96°, γ = 109.23°
Sites, in units of the cell vectors:
1 Ru 0.7474 0.6198 0.6228
2 Pu 0.7619 0.2491 0.3760
3 Ir 0.2500 0.5000 0.7500
4 Pu 0.1235 0.7545 0.0120
5 Ru 0.0030 0.3802 0.1276
6 Ru 0.5000 0.0000 0.5000
7 Ru 0.3772 0.1246 0.9970
8 Ru 0.8724 0.8754 0.2526
9 Pu 0.9880 0.1114 0.7425
10 Pu 0.6240 0.3859 0.8731
11 Pu 0.4872 0.6141 0.2381
12 Pu 0.6311 0.8886 0.8765
13 Pu 0.2575 0.2455 0.3689
14 Pu 0.1269 0.7509 0.5128

Computed properties:
- V (Å³ per cell) = 296.29
- formation energy from the elements (eV/atom) = -0.1366


[11]
DFT (GGA-PBE) results for a geometry-optimized Na2Ac3NdSe6 structure.

a = 7.6571 Å, b = 7.6571 Å, c = 7.4704 Å
α = 99.82°, β = 99.82°, γ = 119.94°
Sites, in units of the cell vectors:
1 Nd 0.0000 0.0000 0.0000
2 Se 0.4093 0.0796 0.2379
3 Ac 0.8308 0.1692 0.5000
4 Na 0.3339 0.6661 0.0000
5 Na 0.6661 0.3339 0.0000
6 Se 0.9204 0.5907 0.7621
7 Ac 0.1692 0.8308 0.5000
8 Ac 0.5000 0.5000 0.5000
9 Se 0.7520 0.7520 0.2430
10 Se 0.0796 0.4093 0.2379
11 Se 0.5907 0.9204 0.7621
12 Se 0.2480 0.2480 0.7570

Computed properties:
- V (Å³ per cell) = 356.81
- VASP energy (eV per atom) = -5.136


[12]
DFT (GGA-PBE) results for a geometry-optimized MgSc4Cd2 structure.

a = 4.9811 Å, b = 4.9811 Å, c = 7.9494 Å
α = 71.74°, β = 71.74°, γ = 60.00°
Sites, in units of the cell vectors:
1 Cd 0.7151 0.7151 0.8547
2 Sc 0.1524 0.1524 0.5429
3 Sc 0.8476 0.8476 0.4571
4 Mg 0.0000 0.0000 0.0000
5 Sc 0.5716 0.5716 0.2852
6 Cd 0.2849 0.2849 0.1453
7 Sc 0.4284 0.4284 0.7148

Computed properties:
- V (Å³ per cell) = 159.24
- offset from the most stable computed form (meV/atom) = 0
- formation energy from the elements (eV/atom) = -0.1283


[13]
DFT (GGA-PBE) results for a geometry-optimized Te3CSe structure.

a = 4.8222 Å, b = 4.8222 Å, c = 4.8222 Å
α = 90.00°, β = 90.00°, γ = 90.00°
Sites, in units of the cell vectors:
1 Te 0.0000 0.0000 0.5000
2 C 0.0000 0.0000 0.0000
3 Te 0.5000 0.0000 0.0000
4 Se 0.5000 0.5000 0.5000
5 Te 0.0000 0.5000 0.0000

Computed properties:
- V (Å³ per cell) = 112.13
- offset from the most stable computed form (meV/atom) = 0


[14]
DFT (GGA-PBE) results for a geometry-optimized RbLaPd structure.

a = 4.0313 Å, b = 5.6425 Å, c = 12.4676 Å
α = 85.74°, β = 81.38°, γ = 69.14°
Sites, in units of the cell vectors:
1 La 0.0922 0.2306 0.0908
2 Rb 0.7186 0.7475 0.3391
3 Pd 0.6319 0.3187 0.9113
4 Pd 0.3681 0.6813 0.0887
5 Rb 0.2814 0.2525 0.6609
6 La 0.9078 0.7694 0.9092

Computed properties:
- V (Å³ per cell) = 261.95
- formation energy from the elements (eV/atom) = -0.3230


[15]
DFT (GGA-PBE) results for a geometry-optimized TiMoIr2 structure.

a = 3.9126 Å, b = 3.9126 Å, c = 9.1458 Å
α = 77.65°, β = 77.65°, γ = 90.00°
Sites, in units of the cell vectors:
1 Mo 0.0000 0.0000 0.0000
2 Ti 0.2500 0.7500 0.5000
3 Ir 0.8750 0.8705 0.7500
4 Ir 0.3750 0.3795 0.7500
5 Mo 0.7500 0.2500 0.5000
6 Ir 0.6205 0.1250 0.2500
7 Ti 0.5000 0.5000 0.0000
8 Ir 0.1295 0.6250 0.2500

Computed properties:
- V (Å³ per cell) = 133.45
- offset from the most stable computed form (meV/atom) = 711
- formation energy from the elements (eV/atom) = 0.1904


[16]
DFT (GGA-PBE) results for a geometry-optimized BiOsN3 structure.

a = 3.9379 Å, b = 3.9379 Å, c = 3.9379 Å
α = 90.00°, β = 90.00°, γ = 90.00°
Sites, in units of the cell vectors:
1 N 0.0000 0.5000 0.0000
2 N 0.0000 0.0000 0.5000
3 Os 0.0000 0.0000 0.0000
4 Bi 0.5000 0.5000 0.5000
5 N 0.5000 0.0000 0.0000

Computed properties:
- V (Å³ per cell) = 61.07
- VASP energy (eV per atom) = -7.108


[17]
DFT (GGA-PBE) results for a geometry-optimized Li4ErTm3Se8 structure.

a = 8.0486 Å, b = 7.9840 Å, c = 8.0471 Å
α = 120.31°, β = 120.01°, γ = 90.00°
Sites, in units of the cell vectors:
1 Se 0.7495 0.7508 0.0004
2 Se 0.7503 0.7503 0.5005
3 Er 0.0000 0.5000 0.0000
4 Se 0.7491 0.2492 0.4982
5 Se 0.2505 0.2492 0.9996
6 Tm 0.0000 0.5000 0.5000
7 Li 0.0000 0.0000 0.5000
8 Tm 0.5000 0.5000 0.0000
9 Se 0.7491 0.2492 0.9996
10 Tm 0.5000 0.5000 0.5000
11 Li 0.0000 0.0000 0.0000
12 Se 0.2509 0.7508 0.5018
13 Li 0.5000 0.0000 0.5000
14 Se 0.2509 0.7508 0.0004
15 Se 0.2497 0.2497 0.4995
16 Li 0.5000 0.0000 0.0000

Computed properties:
- V (Å³ per cell) = 363.90
- VASP energy (eV per atom) = -5.039


[18]
DFT (GGA-PBE) results for a geometry-optimized SrMgSc2Bi structure.

a = 5.4347 Å, b = 5.5517 Å, c = 5.4347 Å
α = 90.00°, β = 90.00°, γ = 90.00°
Sites, in units of the cell vectors:
1 Mg 0.0000 0.5000 0.0000
2 Sc 0.0000 0.0000 0.5000
3 Sr 0.0000 0.0000 0.0000
4 Sc 0.5000 0.0000 0.0000
5 Bi 0.5000 0.5000 0.5000

Computed properties:
- V (Å³ per cell) = 163.97
- formation energy from the elements (eV/atom) = 1.1891


[19]
DFT (GGA-PBE) results for a geometry-optimized Cu4C structure.

a = 4.2155 Å, b = 4.2155 Å, c = 4.2155 Å
α = 109.47°, β = 109.47°, γ = 109.47°
Sites, in units of the cell vectors:
1 C 0.0000 0.0000 0.0000
2 Cu 0.0000 0.0000 0.5000
3 Cu 0.5000 0.5000 0.5000
4 Cu 0.5000 0.0000 0.0000
5 Cu 0.0000 0.5000 0.0000

Computed properties:
- V (Å³ per cell) = 57.67
- offset from the most stable computed form (meV/atom) = 149
- formation energy from the elements (eV/atom) = 0.5444


[20]
DFT (GGA-PBE) results for a geometry-optimized Ac2SmSn2 structure.

a = 4.8752 Å, b = 6.6840 Å, c = 6.6840 Å
α = 64.07°, β = 68.61°, γ = 68.61°
Sites, in units of the cell vectors:
1 Sn 0.5000 0.7154 0.2846
2 Ac 0.2030 0.2970 0.2970
3 Sn 0.5000 0.2846 0.7154
4 Sm 0.0000 0.0000 0.0000
5 Ac 0.7970 0.7030 0.7030

Computed properties:
- V (Å³ per cell) = 176.83
- offset from the most stable computed form (meV/atom) = 0
- formation energy from the elements (eV/atom) = -0.6395


[21]
DFT (GGA-PBE) results for a geometry-optimized SrHRhI2 structure.

a = 5.4310 Å, b = 5.4310 Å, c = 4.1414 Å
α = 90.00°, β = 90.00°, γ = 90.00°
Sites, in units of the cell vectors:
1 Rh 0.5000 0.5000 0.5000
2 Sr 0.0000 0.0000 0.5000
3 I 0.5000 0.0000 0.0000
4 H 0.0000 0.0000 0.0000
5 I 0.0000 0.5000 0.0000

Computed properties:
- V (Å³ per cell) = 122.16
- VASP energy (eV per atom) = -3.026


[22]
DFT (GGA-PBE) results for a geometry-optimized ErThSe3 structure.

a = 4.1929 Å, b = 7.2613 Å, c = 10.7195 Å
α = 90.00°, β = 101.28°, γ = 90.00°
Sites, in units of the cell vectors:
1 Se 0.9094 0.3131 0.8187
2 Se 0.7492 0.6595 0.4983
3 Th 0.6604 0.9935 0.3207
4 Er 0.8359 0.9912 0.6719
5 Er 0.1641 0.4912 0.3281
6 Se 0.2508 0.1595 0.5017
7 Th 0.3396 0.4935 0.6793
8 Se 0.5952 0.3368 0.1904
9 Se 0.0906 0.8131 0.1813
10 Se 0.4048 0.8368 0.8096

Computed properties:
- V (Å³ per cell) = 320.06
- offset from the most stable computed form (meV/atom) = 113


[23]
DFT (GGA-PBE) results for a geometry-optimized CaTbSm3 structure.

a = 6.1556 Å, b = 6.1556 Å, c = 12.3352 Å
α = 75.55°, β = 75.55°, γ = 60.00°
Sites, in units of the cell vectors:
1 Ca 0.3335 0.3335 0.9994
2 Ca 0.6664 0.6664 0.0008
3 Tb 0.1664 0.1664 0.5009
4 Sm 0.5820 0.2471 0.2626
5 Tb 0.8336 0.8336 0.4991
6 Sm 0.9084 0.5820 0.2626
7 Sm 0.2471 0.9084 0.2626
8 Sm 0.7529 0.0916 0.7374
9 Sm 0.4180 0.7529 0.7374
10 Sm 0.0916 0.4180 0.7374

Computed properties:
- V (Å³ per cell) = 387.61
- offset from the most stable computed form (meV/atom) = 46
- formation energy from the elements (eV/atom) = 0.3747


[24]
DFT (GGA-PBE) results for a geometry-optimized BaAgPt structure.

a = 4.7079 Å, b = 4.7079 Å, c = 4.3969 Å
α = 90.00°, β = 90.00°, γ = 120.00°
Sites, in units of the cell vectors:
1 Ba 0.6667 0.3333 0.3333
2 Ag 0.0000 0.0000 0.8330
3 Pt 0.3333 0.6667 0.8337

Computed properties:
- V (Å³ per cell) = 84.40
- offset from the most stable computed form (meV/atom) = 0
- formation energy from the elements (eV/atom) = -0.4399